1.
Material: Ba3NpRe2N8
Method: DFT, PBE-GGA
State: relaxed

a b c (Å): 6.111 6.111 7.843
angles (deg): 90.00 90.00 120.00
Sites, in units of the cell vectors:
Ba1 0.000 0.000 0.000
Ba2 0.333 0.667 0.672
Ba3 0.667 0.333 0.328
Np1 0.000 0.000 0.500
Re1 0.333 0.667 0.233
Re2 0.667 0.333 0.767
N1 0.169 0.339 0.321
N2 0.169 0.831 0.321
N3 0.333 0.667 0.007
N4 0.339 0.169 0.679
N5 0.661 0.831 0.321
N6 0.667 0.333 0.993
N7 0.831 0.169 0.679
N8 0.831 0.661 0.679

Summary:
- Crystal system: trigonal
- Uncorrected formation energy: -0.769 eV per atom
- Density of states at the Fermi level: 5.9 states/eV/cell

2.
Material: HfThCu
Method: DFT, PBE-GGA
State: relaxed

a b c (Å): 6.439 6.439 6.439
angles (deg): 149.76 149.76 43.29
Sites, in units of the cell vectors:
Hf1 0.000 0.000 0.000
Th1 0.698 0.698 0.000
Cu1 0.381 0.381 0.000

Summary:
- ΔE_f: -0.076 eV/f.u.
- Crystal system: tetragonal
- Energy above the lowest structure with this stoichiometry: 0.000 eV/atom
- Density of states at the Fermi level: 1.8 states/eV/cell

3.
Material: TlZn2CoGe
Method: DFT, PBE-GGA
State: relaxed

a b c (Å): 4.741 4.741 5.582
angles (deg): 90.00 90.00 90.00
Sites, in units of the cell vectors:
Tl1 0.000 0.000 0.000
Zn1 0.000 0.500 0.500
Zn2 0.500 0.000 0.500
Co1 0.500 0.500 0.000
Ge1 0.000 0.000 0.500

Summary:
- ΔE_f: 4.681 eV/f.u.
- Crystal system: tetragonal
- Energy above the lowest structure with this stoichiometry: 0.849 eV/atom
- Density of states at the Fermi level: 4.1 states/eV/cell

4.
Material: TlInIr
Method: DFT, PBE-GGA
State: relaxed

a b c (Å): 5.432 5.432 5.432
angles (deg): 141.59 141.59 55.45
Sites, in units of the cell vectors:
Tl1 0.000 0.000 0.000
In1 0.696 0.696 0.000
Ir1 0.322 0.322 0.000

Summary:
- ΔE_f: 0.951 eV/f.u.
- Crystal system: tetragonal
- Density of states at the Fermi level: 2.1 states/eV/cell

5.
Material: Cs2NaSb
Method: DFT, PBE-GGA
State: relaxed

a b c (Å): 7.634 7.634 6.941
angles (deg): 90.00 90.00 78.78
Sites, in units of the cell vectors:
Cs1 0.035 0.303 0.250
Cs2 0.303 0.035 0.750
Cs3 0.697 0.965 0.250
Cs4 0.965 0.697 0.750
Na1 0.500 0.500 0.000
Na2 0.500 0.500 0.500
Sb1 0.240 0.760 0.250
Sb2 0.760 0.240 0.750

Summary:
- Crystal system: orthorhombic
- Uncorrected formation energy: -0.399 eV per atom
- Density of states at the Fermi level: 0.4 states/eV/cell

6.
Material: YZr2V
Method: DFT, PBE-GGA
State: relaxed

a b c (Å): 10.791 10.791 10.791
angles (deg): 17.00 17.00 17.00
Sites, in units of the cell vectors:
Y1 0.000 0.000 0.000
Zr1 0.099 0.099 0.099
Zr2 0.901 0.901 0.901
V1 0.500 0.500 0.500

Summary:
- ΔE_f: 1.653 eV/f.u.
- Crystal system: trigonal
- Energy above the lowest structure with this stoichiometry: 0.228 eV/atom
- Density of states at the Fermi level: 5.7 states/eV/cell

7.
Material: Pr3As2Cl
Method: DFT, PBE-GGA
State: relaxed

a b c (Å): 7.454 7.454 7.454
angles (deg): 146.72 132.55 59.19
Sites, in units of the cell vectors:
Pr1 0.000 0.000 0.000
Pr2 0.319 0.319 0.000
Pr3 0.681 0.681 0.000
As1 0.163 0.663 0.500
As2 0.837 0.337 0.500
Cl1 0.500 0.000 0.500

Summary:
- Crystal system: orthorhombic
- Uncorrected formation energy: -1.557 eV per atom
- Energy above the lowest structure with this stoichiometry: 0.000 eV/atom
- Density of states at the Fermi level: 2.4 states/eV/cell

8.
Material: NdScAu
Method: DFT, PBE-GGA
State: relaxed

a b c (Å): 4.763 4.763 3.963
angles (deg): 90.00 90.00 120.00
Sites, in units of the cell vectors:
Nd1 0.000 0.000 0.000
Sc1 0.667 0.333 0.499
Au1 0.333 0.667 0.517

Summary:
- ΔE_f: -1.306 eV/f.u.
- Crystal system: trigonal
- Energy above the lowest structure with this stoichiometry: 0.167 eV/atom
- Density of states at the Fermi level: 3.3 states/eV/cell

What is the density of states at the Fermi level in the third record? 4.1 states/eV/cell